GGA-PBE Ta4ReRu3, relaxed; calculated volume = 16.13 Å³ per atom; size of the total moment = 0.00 Bohr magnetons per cell; final energy = -11.30 eV/atom
1.0
-0.462 1.968 -2.608
-3.412 -2.504 -1.285
-5.488 5.031 4.769
Re Ru Ta
1 3 4
direct
0.500 0.500 0.000 Re
0.500 0.000 0.256 Ru
0.500 0.500 0.500 Ru
0.500 0.000 0.744 Ru
0.000 0.000 0.500 Ta
0.000 0.500 0.752 Ta
0.000 0.000 0.000 Ta
0.000 0.500 0.248 Ta

=====

GGA-PBE TaRe2Ru, relaxed; calculated volume = 15.61 Å³ per atom; size of the total moment = 1.20 Bohr magnetons per cell; final energy = -11.33 eV/atom
1.0
0.000 3.149 3.149
3.149 0.000 3.149
3.149 3.149 0.000
Re Ru Ta
2 1 1
direct
0.250 0.250 0.250 Re
0.750 0.750 0.750 Re
0.000 0.000 0.000 Ru
0.500 0.500 0.500 Ta